# 1
Material: SrCuGe2Se
Method: DFT, PBE
State: relaxed

Geometry as extended XYZ:
```
5
Lattice="5.226 0.000 0.000 0.000 5.226 0.000 0.000 0.000 5.658" Properties=species:S:1:pos:R:3 pbc="T T T"
Sr 0.000 0.000 0.000
Cu 2.613 2.613 0.000
Ge 0.000 2.613 2.829
Ge 2.613 0.000 2.829
Se 0.000 0.000 2.829
```

=====

# 2
Material: CuTcGe2Se
Method: DFT, PBE
State: relaxed

Geometry as extended XYZ:
```
5
Lattice="5.164 0.000 0.000 0.000 5.164 0.000 0.000 0.000 4.314" Properties=species:S:1:pos:R:3 pbc="T T T"
Cu 0.000 0.000 0.000
Tc 2.582 2.582 0.000
Ge 0.000 2.582 2.157
Ge 2.582 0.000 2.157
Se 0.000 0.000 2.157
```

=====

# 3
Material: Cu2GeTe2Se
Method: DFT, PBE
State: relaxed

Geometry as extended XYZ:
```
12
Lattice="6.290 -3.580 0.000 6.290 3.580 0.000 0.000 0.000 6.886" Properties=species:S:1:pos:R:3 pbc="T T T"
Cu 4.294 2.321 3.443
Cu 8.286 2.321 3.443
Cu 4.294 -2.321 0.000
Cu 8.286 -2.321 0.000
Ge 6.290 1.145 0.016
Ge 6.290 -1.145 3.459
Te 2.137 1.178 2.576
Te 2.137 -1.178 6.019
Te 10.443 1.178 2.576
Te 10.443 -1.178 6.019
Se 6.290 1.229 2.613
Se 6.290 -1.229 6.057
```

=====

# 4
Material: CuGeTeSe
Method: DFT, PBE
State: relaxed

Geometry as extended XYZ:
```
8
Lattice="6.905 0.000 0.000 0.000 4.709 0.000 -1.913 0.000 6.473" Properties=species:S:1:pos:R:3 pbc="T T T"
Cu 0.000 0.000 0.000
Cu 3.452 2.355 0.000
Ge 2.321 0.000 3.283
Ge 5.773 2.355 3.283
Te 2.484 0.000 0.613
Te 5.937 2.355 0.613
Se 1.398 2.355 3.993
Se 4.851 0.000 3.993
```

=====

# 5
Material: TlCuGe2Se6
Method: DFT, PBE
State: relaxed

Geometry as extended XYZ:
```
20
Lattice="6.752 -6.403 0.000 6.752 6.403 0.000 -2.686 0.000 6.415" Properties=species:S:1:pos:R:3 pbc="T T T"
Tl 4.737 4.102 4.812
Tl 6.080 -4.102 1.604
Cu 6.080 3.779 1.604
Cu 4.737 -3.779 4.812
Ge 1.919 1.004 4.941
Ge 3.262 -1.004 1.733
Ge 7.556 1.004 4.683
Ge 8.899 -1.004 1.475
Se -0.333 0.935 4.067
Se 2.376 3.200 5.920
Se 1.010 -0.935 0.860
Se 3.633 0.853 3.247
Se 7.099 3.200 3.703
Se 4.976 -0.853 0.039
Se 5.842 0.853 6.376
Se 3.719 -3.200 2.713
Se 7.185 -0.853 3.168
Se 9.808 0.935 5.556
Se 8.442 -3.200 0.495
Se 11.151 -0.935 2.348
```

=====

# 6
Material: Zn2CuGeSe4
Method: DFT, PBE
State: relaxed

Geometry as extended XYZ:
```
8
Lattice="0.000 4.091 5.775 4.088 0.000 5.775 4.088 4.091 0.000" Properties=species:S:1:pos:R:3 pbc="T T T"
Zn 2.044 2.046 0.000
Zn 2.044 2.046 5.775
Cu 4.088 4.091 2.890
Ge 4.088 4.091 8.660
Se 6.022 4.091 4.345
Se 4.088 1.931 7.207
Se 2.154 4.091 4.345
Se 4.088 6.251 7.207
```

=====

no.,M_tot (μB per formula unit),formation energy (no corrections) (eV per atom)
1,0.00,0.380
2,3.00,1.198
3,0.00,-0.118
4,0.00,-0.073
5,0.00,-0.173
6,0.00,-0.412